1.
Material: Ta3Rh
Method: DFT, GGA-PBE
State: optimized geometry

Output
space-group type: P2/m, No. 10
energy relative to the elements: -196 meV per atom

Lattice parameters (Å, degrees): 4.5912 2.8541 5.3178 79.16 90.00 90.00
Fractional positions:
Ta1 0.5000 0.2463 0.2519
Ta2 0.0000 0.5000 0.5000
Ta3 0.5000 0.7537 0.7481
Rh1 0.0000 0.0000 0.0000

2.
Material: Ho2ThSc6
Method: DFT, GGA-PBE
State: optimized geometry

Output
space-group type: C2/m, No. 12
energy relative to the elements: 121 meV per atom
relative energy among the computed polymorphs: 80.2 meV/atom

Lattice parameters (Å, degrees): 3.5126 8.4357 9.2942 63.01 85.49 80.02
Fractional positions:
Sc1 0.1448 0.5092 0.3137
Sc2 0.1448 0.8230 0.6863
Sc3 0.8552 0.1770 0.3137
Sc4 0.3358 0.3450 0.0000
Sc5 0.8552 0.4908 0.6863
Sc6 0.6642 0.6550 0.0000
Ho1 0.5000 0.8191 0.3618
Ho2 0.5000 0.1809 0.6382
Th1 0.0000 0.0000 0.0000

3.
Material: Y2TlCrB
Method: DFT, GGA-PBE
State: optimized geometry

Output
space-group type: P4/mmm, No. 123
energy relative to the elements: -147 meV per atom

Lattice parameters (Å, degrees): 5.1213 5.1213 4.1479 90.00 90.00 90.00
Site moments in Bohr magnetons follow the coordinates.
Fractional positions:
Y1 0.0000 0.5000 0.0000  -0.12
Y2 0.5000 0.0000 0.0000  -0.12
Cr1 0.0000 0.0000 0.5000  2.72
B1 0.0000 0.0000 0.0000  -0.17
Tl1 0.5000 0.5000 0.5000  -0.09

4.
Material: CaMn2Be
Method: DFT, GGA-PBE
State: optimized geometry

Output
space-group type: P2/m, No. 10
energy relative to the elements: 558 meV per atom

Lattice parameters (Å, degrees): 3.9414 2.8185 5.7424 78.45 90.00 90.00
Site moments in Bohr magnetons follow the coordinates.
Fractional positions:
Ca1 0.5000 0.7500 0.7500  -0.01
Be1 0.5000 0.2500 0.2500  -0.09
Mn1 0.0000 0.0417 0.0859  2.03
Mn2 0.0000 0.4583 0.4141  2.03

5.
Material: Tl2WAu
Method: DFT, GGA-PBE
State: optimized geometry

Output
space-group type: P4mm, No. 99
energy relative to the elements: 573 meV per atom
relative energy among the computed polymorphs: 0.0 meV/atom

Lattice parameters (Å, degrees): 3.0113 3.0113 9.8643 90.00 90.00 90.00
Fractional positions:
Tl1 0.5000 0.5000 0.2886
Tl2 0.0000 0.0000 0.9769
Au1 0.5000 0.5000 0.7085
W1 0.0000 0.0000 0.5260

6.
Material: Sc2AlSb
Method: DFT, GGA-PBE
State: optimized geometry

Output
space-group type: P4/mmm, No. 123
relative energy among the computed polymorphs: 108.8 meV/atom

Lattice parameters (Å, degrees): 4.4739 4.4737 4.2081 90.00 90.00 90.00
Fractional positions:
Al1 0.5000 0.0000 0.5000
Sc1 0.0000 0.0000 0.0000
Sc2 0.5000 0.5000 0.0000
Sb1 0.0000 0.5000 0.5000

7.
Material: Ta4NbC4
Method: DFT, GGA-PBE
State: optimized geometry

Output
space-group type: P-1, No. 2
energy relative to the elements: -603 meV per atom

Lattice parameters (Å, degrees): 4.4927 5.4599 5.4538 80.16 65.65 65.60
Fractional positions:
Ta1 0.8084 0.8004 0.5834
Ta2 0.6081 0.5836 0.1995
Ta3 0.3919 0.4164 0.8005
Ta4 0.1916 0.1996 0.4166
Nb1 0.0000 0.0000 0.0000
C1 0.0993 0.5986 0.2034
C2 0.6977 0.2032 0.4010
C3 0.9007 0.4014 0.7966
C4 0.3023 0.7968 0.5990

8.
Material: U2PC
Method: DFT, GGA-PBE
State: optimized geometry

Output
space-group type: P2_1/m, No. 11
energy relative to the elements: -324 meV per atom
relative energy among the computed polymorphs: 166.4 meV/atom

Lattice parameters (Å, degrees): 4.5529 3.7520 8.8302 90.02 81.54 90.00
Site moments in Bohr magnetons follow the coordinates.
Fractional positions:
U1 0.2519 0.2495 0.1387  2.24
U2 0.2919 0.7500 0.5524  1.37
U3 0.7481 0.7505 0.8613  2.24
U4 0.7081 0.2500 0.4476  1.37
C1 0.2004 0.2498 0.3979  -0.06
C2 0.7996 0.7502 0.6021  -0.06
P1 0.2501 0.2505 0.8169  -0.08
P2 0.7499 0.7495 0.1831  -0.08

9.
Material: SrCaOs4
Method: DFT, GGA-PBE
State: optimized geometry

Output
space-group type: F-43m, No. 216
energy relative to the elements: 315 meV per atom

Lattice parameters (Å, degrees): 5.4202 5.4202 5.4202 60.00 60.00 60.00
Fractional positions:
Sr1 0.7500 0.7500 0.7500
Os1 0.3747 0.8759 0.3747
Os2 0.3747 0.3747 0.3747
Os3 0.3747 0.3747 0.8759
Os4 0.8759 0.3747 0.3747
Ca1 0.0000 0.0000 0.0000

10.
Material: TaSiCl2
Method: DFT, GGA-PBE
State: optimized geometry

Output
space-group type: Pmm2, No. 25
relative energy among the computed polymorphs: 24.4 meV/atom

Lattice parameters (Å, degrees): 3.4968 3.0434 9.1637 90.00 90.00 90.00
Fractional positions:
Cl1 0.0000 0.0000 0.9285
Cl2 0.5000 0.5000 0.3112
Ta1 0.5000 0.5000 0.5573
Si1 0.0000 0.0000 0.7030

11.
Material: Ag4AsOs
Method: DFT, GGA-PBE
State: optimized geometry

Output
space-group type: F-43m, No. 216
energy relative to the elements: 879 meV per atom

Lattice parameters (Å, degrees): 5.3773 5.3773 5.3773 60.00 60.00 60.00
Site moments in Bohr magnetons follow the coordinates.
Fractional positions:
As1 0.7500 0.7500 0.7500  -0.02
Os1 0.0000 0.0000 0.0000  1.33
Ag1 0.8757 0.3748 0.3748  0.01
Ag2 0.3748 0.3748 0.8757  0.01
Ag3 0.3748 0.8757 0.3748  0.01
Ag4 0.3748 0.3748 0.3748  0.01

12.
Material: Sc2AlIr
Method: DFT, GGA-PBE
State: optimized geometry

Output
space-group type: Fm-3m, No. 225
energy relative to the elements: -730 meV per atom
relative energy among the computed polymorphs: 21.9 meV/atom

Lattice parameters (Å, degrees): 4.6631 4.6631 4.6631 60.00 60.00 60.00
Fractional positions:
Ir1 0.5000 0.5000 0.5000
Al1 0.0000 0.0000 0.0000
Sc1 0.2500 0.2500 0.2500
Sc2 0.7500 0.7500 0.7500

13.
Material: TlPb2Au2
Method: DFT, GGA-PBE
State: optimized geometry

Output
space-group type: C2/m, No. 12
energy relative to the elements: -16 meV per atom
relative energy among the computed polymorphs: 35.9 meV/atom

Lattice parameters (Å, degrees): 4.2968 6.0821 6.0851 67.15 68.73 68.76
Fractional positions:
Au1 0.0002 0.2084 0.2907
Au2 0.9998 0.7916 0.7093
Tl1 0.5000 0.5000 0.0000
Pb1 0.6981 0.8007 0.3008
Pb2 0.3019 0.1993 0.6992

14.
Material: Nd2Ho5ErTm
Method: DFT, GGA-PBE
State: optimized geometry

Output
space-group type: I4/mcm, No. 140
energy relative to the elements: 279 meV per atom

Lattice parameters (Å, degrees): 8.5351 8.5351 9.9504 115.40 115.40 90.00
Fractional positions:
Nd1 0.6185 0.1185 0.0000
Nd2 0.1185 0.3815 0.0000
Nd3 0.8815 0.6185 0.0000
Nd4 0.3815 0.8815 0.0000
Tm1 0.2500 0.7500 0.5000
Tm2 0.7500 0.2500 0.5000
Ho1 0.1436 0.0729 0.7165
Ho2 0.8564 0.9271 0.2835
Ho3 0.0729 0.5729 0.7165
Ho4 0.4271 0.3564 0.2835
Ho5 0.9271 0.4271 0.2835
Ho6 0.0000 0.0000 0.0000
Ho7 0.5729 0.6436 0.7165
Ho8 0.3564 0.8564 0.2835
Ho9 0.6436 0.1436 0.7165
Ho10 0.5000 0.5000 0.0000
Er1 0.2500 0.2500 0.5000
Er2 0.7500 0.7500 0.5000

15.
Material: MgSn2HgB
Method: DFT, GGA-PBE
State: optimized geometry

Output
space-group type: P4/mmm, No. 123
energy relative to the elements: 1326 meV per atom
relative energy among the computed polymorphs: 387.8 meV/atom

Lattice parameters (Å, degrees): 5.5456 5.1126 5.5456 90.00 90.00 90.00
Fractional positions:
Sn1 0.5000 0.0000 0.0000
Sn2 0.0000 0.0000 0.5000
Hg1 0.0000 0.0000 0.0000
B1 0.5000 0.5000 0.5000
Mg1 0.0000 0.5000 0.0000

16.
Material: Ce4GeBi
Method: DFT, GGA-PBE
State: optimized geometry

Output
space-group type: C2/c, No. 15
energy relative to the elements: -479 meV per atom
relative energy among the computed polymorphs: 0.0 meV/atom

Lattice parameters (Å, degrees): 6.0645 8.2531 8.1939 111.49 100.56 111.77
Site moments in Bohr magnetons follow the coordinates.
Fractional positions:
Bi1 0.6263 0.3763 0.7527  -0.02
Bi2 0.3737 0.6237 0.2473  -0.02
Ce1 0.9264 0.7723 0.1721  0.72
Ce2 0.8200 0.7410 0.6297  0.49
Ce3 0.2543 0.6002 0.8279  0.72
Ce4 0.1800 0.2590 0.3703  0.49
Ce5 0.0736 0.2277 0.8279  0.72
Ce6 0.3097 0.8887 0.6297  0.49
Ce7 0.6903 0.1113 0.3703  0.49
Ce8 0.7457 0.3998 0.1721  0.72
Ge1 0.7415 0.9915 0.9830  -0.02
Ge2 0.2585 0.0085 0.0170  -0.02

17.
Material: LaPm5SmTm2
Method: DFT, GGA-PBE
State: optimized geometry

Output
space-group type: Cmc2_1, No. 36
energy relative to the elements: 153 meV per atom

Lattice parameters (Å, degrees): 5.7019 10.5390 10.6619 90.00 90.00 105.69
Fractional positions:
Pm1 0.2961 0.5923 0.7064
Pm2 0.7039 0.4077 0.2064
Pm3 0.2806 0.5612 0.3130
Pm4 0.4777 0.9554 0.7391
Pm5 0.3883 0.7765 0.0261
Pm6 0.5223 0.0446 0.2391
Pm7 0.6117 0.2235 0.5261
Pm8 0.7194 0.4388 0.8130
Pm9 0.0165 0.0331 0.0248
Pm10 0.9835 0.9669 0.5248
Tm1 0.1158 0.2316 0.3217
Tm2 0.8874 0.7749 0.2337
Tm3 0.8842 0.7684 0.8217
Tm4 0.1126 0.2251 0.7337
La1 0.5834 0.1668 0.9472
La2 0.4166 0.8332 0.4472
Sm1 0.8002 0.6005 0.5120
Sm2 0.1998 0.3995 0.0120

18.
Material: GaBAsSe2
Method: DFT, GGA-PBE
State: optimized geometry

Output
space-group type: P4/mmm, No. 123
relative energy among the computed polymorphs: 272.4 meV/atom

Lattice parameters (Å, degrees): 5.1553 3.9210 5.1553 90.00 90.00 90.00
Fractional positions:
Se1 0.0000 0.0000 0.5000
Se2 0.5000 0.0000 0.0000
As1 0.5000 0.5000 0.5000
B1 0.0000 0.5000 0.0000
Ga1 0.0000 0.0000 0.0000

19.
Material: Na2LaSb2
Method: DFT, GGA-PBE
State: optimized geometry

Output
space-group type: I4/mmm, No. 139
relative energy among the computed polymorphs: 188.8 meV/atom

Lattice parameters (Å, degrees): 5.6345 5.6345 6.1532 62.75 62.75 90.00
Fractional positions:
La1 0.0000 0.0000 0.0000
Na1 0.6406 0.6406 0.7188
Na2 0.3594 0.3594 0.2812
Sb1 0.2500 0.7500 0.5000
Sb2 0.7500 0.2500 0.5000

20.
Material: Cu2SiMo
Method: DFT, GGA-PBE
State: optimized geometry

Output
space-group type: I-42d, No. 122
electronic total energy: -46.7 eV/cell

Lattice parameters (Å, degrees): 3.4903 3.4903 9.7028 79.64 79.64 90.00
Fractional positions:
Mo1 0.0000 0.0000 0.0000
Mo2 0.7500 0.2500 0.5000
Cu1 0.1298 0.6250 0.2500
Cu2 0.3750 0.3798 0.7500
Cu3 0.8750 0.8702 0.7500
Cu4 0.6202 0.1250 0.2500
Si1 0.5000 0.5000 0.0000
Si2 0.2500 0.7500 0.5000